Here is an optimized crystal structure of Th7Pt3 from the Alexandria database. Energies are from GGA-PBE.

Values from the calculation:
E_form (eV per atom): -0.75
Magnetic moment (μB per atom): 0.0000
Total energy (eV/atom): -7.752
Fermi-level density of states (states/eV per cell): 21.8

The structure in extended XYZ format:
```
20
Lattice="10.124 0.000 0.000 -5.062 8.767 0.000 0.000 0.000 6.385" Properties=species:S:1:pos:R:3 pbc="T T T"
Th -1.886 4.756 0.000
Th 0.000 2.250 4.557
Th -3.114 7.643 4.557
Th 1.948 1.125 1.365
Th 0.000 5.845 3.576
Th 1.886 4.756 0.000
Th 0.000 8.023 0.000
Th 5.062 0.744 3.192
Th 3.175 4.012 3.192
Th 5.062 2.922 0.383
Th 3.114 7.643 4.557
Th 8.175 1.125 1.365
Th 5.062 6.518 1.365
Th 6.948 4.012 3.192
Pt 0.000 3.314 1.789
Pt -2.192 7.110 1.789
Pt 2.870 1.657 4.982
Pt 2.192 7.110 1.789
Pt 7.253 1.657 4.982
Pt 5.062 5.453 4.982
```

---

Here is an optimized crystal structure of RbNb2AsO8 from the Alexandria database. Energies are from GGA-PBE.

Values from the calculation:
Formation energy from raw total energies (eV per atom): -1.99
Magnetic moment (μB per atom): 0.0000
Total energy (eV/atom): -7.439
Fermi-level density of states (states/eV per cell): 0.0

The structure in extended XYZ format:
```
12
Lattice="4.651 -2.800 0.000 4.651 2.800 0.000 -2.696 0.000 8.521" Properties=species:S:1:pos:R:3 pbc="T T T"
Rb 0.000 0.000 0.000
Nb 0.022 0.000 5.724
Nb 6.584 0.000 2.797
As 3.303 0.000 4.261
O 3.123 1.294 2.951
O 1.469 0.000 4.493
O 0.545 0.000 7.424
O 3.483 1.294 5.570
O 3.123 -1.294 2.951
O 6.061 0.000 1.097
O 5.137 0.000 4.028
O 3.483 -1.294 5.570
```

---

Here is an optimized crystal structure of MgRh3 from the Alexandria database. Energies are from GGA-PBE.

Values from the calculation:
E_form (eV per atom): -0.20
Magnetic moment (μB per atom): 0.0000
Total energy (eV/atom): -6.113
Fermi-level density of states (states/eV per cell): 12.2

The structure in extended XYZ format:
```
8
Lattice="2.752 -4.741 0.000 2.752 4.741 0.000 0.000 0.000 4.498" Properties=species:S:1:pos:R:3 pbc="T T T"
Mg 2.752 3.902 3.373
Mg 2.752 -3.902 1.124
Rh 1.405 1.582 3.373
Rh 2.752 0.780 1.124
Rh 1.405 -1.582 1.124
Rh 4.100 1.582 3.373
Rh 2.752 -0.780 3.373
Rh 4.100 -1.582 1.124
```